Run P
Below is crystalline Sb4W at its relaxed geometry, with properties calculated at the PBE level.

Symmetry = I4/mmm, No. 139
N(E_F) = 5.0 states/eV per cell

Cell lengths 10.052, 10.052, 10.052 Å; angles 157.98, 157.98, 31.33 degrees
Fractional coordinates of all 5 atoms:
W 0.000 0.000 0.000
Sb 0.425 0.425 0.000
Sb 0.750 0.250 0.500
Sb 0.250 0.750 0.500
Sb 0.575 0.575 0.000

Run Q
Below is crystalline Sb4W at its relaxed geometry, with properties calculated at the PBE level.

Symmetry = Pm-3m, No. 221
N(E_F) = 6.9 states/eV per cell

Cell lengths 5.262, 5.262, 5.262 Å; angles 90.00, 90.00, 90.00 degrees
Last column: magnetic moment on the atom in μB.
Fractional coordinates of all 5 atoms:
Sb 0.000 0.000 0.000  0.18
W 0.500 0.500 0.500  0.29
Sb 0.500 0.000 0.500  -0.02
Sb 0.000 0.500 0.500  -0.02
Sb 0.500 0.500 0.000  -0.02

We find run Q to be the most stable, with the next structure 0.196 eV/atom higher.

Run P
Below is crystalline Sb4W3 at its relaxed geometry, with properties calculated at the PBE level.

Symmetry = I4/mmm, No. 139
N(E_F) = 3.2 states/eV per cell

Cell lengths 14.809, 14.809, 14.809 Å; angles 167.31, 167.31, 17.98 degrees
Fractional coordinates of all 7 atoms:
Sb 0.163 0.163 0.000
W 0.273 0.273 0.000
Sb 0.837 0.837 0.000
W 0.727 0.727 0.000
W 0.000 0.000 0.000
Sb 0.442 0.442 0.000
Sb 0.558 0.558 0.000

Run Q
Below is crystalline Sb4W3 at its relaxed geometry, with properties calculated at the PBE level.

Symmetry = P6/mmm, No. 191
N(E_F) = 6.1 states/eV per cell

Cell lengths 5.374, 5.374, 6.204 Å; angles 90.00, 90.00, 120.00 degrees
Fractional coordinates of all 7 atoms:
Sb 0.000 0.000 0.237
W 0.500 0.000 0.000
Sb 0.333 0.667 0.500
Sb 0.667 0.333 0.500
Sb 0.000 0.000 0.763
W 0.500 0.500 0.000
W 0.000 0.500 0.000

We find run P to be the most stable, with the next structure 0.423 eV/atom higher.

Run P
Below is crystalline YSb2W at its relaxed geometry, with properties calculated at the PBE level.

Symmetry = Immm, No. 71
N(E_F) = 3.3 states/eV per cell

Cell lengths 5.906, 5.906, 5.906 Å; angles 146.18, 121.63, 69.19 degrees
Fractional coordinates of all 4 atoms:
Sb 0.967 0.967 0.000
Sb 0.533 0.533 0.000
Y 0.250 0.750 0.500
W 0.750 0.250 0.500

Run Q
Below is crystalline YSb2W at its relaxed geometry, with properties calculated at the PBE level.

Symmetry = P2/m, No. 10
N(E_F) = 3.2 states/eV per cell

Cell lengths 4.473, 3.342, 6.190 Å; angles 80.79, 90.00, 90.00 degrees
Fractional coordinates of all 4 atoms:
Y 0.500 0.750 0.750
W 0.500 0.250 0.250
Sb 0.000 0.087 0.015
Sb 0.000 0.413 0.485

We find run Q to be the most stable, with the next structure 0.007 eV/atom higher.

Run P
Below is crystalline YSb2W at its relaxed geometry, with properties calculated at the PBE level.

Symmetry = Cmm2, No. 35
N(E_F) = 3.2 states/eV per cell

Cell lengths 3.163, 3.163, 10.654 Å; angles 90.00, 90.00, 104.34 degrees
Fractional coordinates of all 4 atoms:
W 0.000 0.000 0.504
Y 0.500 0.500 0.721
Sb 0.000 0.000 0.959
Sb 0.500 0.500 0.316

Run Q
Below is crystalline YSb2W at its relaxed geometry, with properties calculated at the PBE level.

Symmetry = F-43m, No. 216
N(E_F) = 4.3 states/eV per cell

Cell lengths 5.059, 5.059, 5.059 Å; angles 60.00, 60.00, 60.00 degrees
Last column: magnetic moment on the atom in μB.
Fractional coordinates of all 4 atoms:
W 0.500 0.500 0.500  0.67
Sb 0.250 0.250 0.250  -0.02
Y 0.750 0.750 0.750  0.15
Sb 0.000 0.000 0.000  -0.04

Run R
Below is crystalline YSb2W at its relaxed geometry, with properties calculated at the PBE level.

Symmetry = Cm, No. 8
N(E_F) = 3.2 states/eV per cell

Cell lengths 5.031, 5.031, 6.558 Å; angles 68.26, 68.26, 42.41 degrees
Fractional coordinates of all 4 atoms:
Y 0.200 0.200 0.258
W 0.502 0.502 0.652
Sb 0.996 0.996 0.977
Sb 0.801 0.801 0.613

Run S
Below is crystalline YSb2W at its relaxed geometry, with properties calculated at the PBE level.

Symmetry = R3m, No. 160
N(E_F) = 2.0 states/eV per cell

Cell lengths 9.703, 9.703, 9.703 Å; angles 20.46, 20.46, 20.46 degrees
Fractional coordinates of all 4 atoms:
Y 0.757 0.757 0.757
Sb 0.238 0.238 0.238
Sb 0.000 0.000 0.000
W 0.505 0.505 0.505

We find run R to be the most stable, with the next structure 0.178 eV/atom higher.

Run P
Below is crystalline YSb2W at its relaxed geometry, with properties calculated at the PBE level.

Symmetry = Pmmm, No. 47
N(E_F) = 3.2 states/eV per cell

Cell lengths 3.922, 5.258, 4.384 Å; angles 90.00, 90.00, 90.00 degrees
Fractional coordinates of all 4 atoms:
Sb 0.000 0.000 0.000
W 0.500 0.000 0.500
Y 0.000 0.500 0.500
Sb 0.500 0.500 0.000

Run Q
Below is crystalline YSb2W at its relaxed geometry, with properties calculated at the PBE level.

Symmetry = I-42d, No. 122
N(E_F) = 5.3 states/eV per cell

Cell lengths 5.866, 5.866, 8.726 Å; angles 70.36, 70.36, 90.00 degrees
Last column: magnetic moment on the atom in μB.
Fractional coordinates of all 8 atoms:
W 0.000 0.000 0.000  0.81
Sb 0.875 0.943 0.750  -0.02
Y 0.500 0.500 0.000  0.04
W 0.750 0.250 0.500  0.80
Sb 0.057 0.625 0.250  -0.02
Sb 0.693 0.125 0.250  -0.02
Sb 0.375 0.307 0.750  -0.02
Y 0.250 0.750 0.500  0.04

Run R
Below is crystalline YSb2W at its relaxed geometry, with properties calculated at the PBE level.

Symmetry = Fm-3m, No. 225
N(E_F) = 2.5 states/eV per cell

Cell lengths 4.974, 4.974, 4.974 Å; angles 60.00, 60.00, 60.00 degrees
Fractional coordinates of all 4 atoms:
Y 0.000 0.000 0.000
W 0.500 0.500 0.500
Sb 0.750 0.750 0.750
Sb 0.250 0.250 0.250

Run S
Below is crystalline YSb2W at its relaxed geometry, with properties calculated at the PBE level.

Symmetry = Pm, No. 6
N(E_F) = 2.8 states/eV per cell

Cell lengths 5.101, 3.622, 5.513 Å; angles 70.97, 90.00, 90.00 degrees
Fractional coordinates of all 4 atoms:
Y 0.500 0.692 0.743
Sb 0.000 0.058 0.008
Sb 0.500 0.413 0.296
W 0.000 0.336 0.453

We find run R to be the most stable, with the next structure 0.121 eV/atom higher.

Run P
Below is crystalline YSbW at its relaxed geometry, with properties calculated at the PBE level.

Symmetry = P-6m2, No. 187
N(E_F) = 5.0 states/eV per cell

Cell lengths 4.875, 4.875, 3.244 Å; angles 90.00, 90.00, 120.00 degrees
Fractional coordinates of all 3 atoms:
Sb 0.000 0.000 0.167
Y 0.333 0.667 0.667
W 0.667 0.333 0.167

Run Q
Below is crystalline YSbW at its relaxed geometry, with properties calculated at the PBE level.

Symmetry = Fmm2, No. 42
N(E_F) = 2.9 states/eV per cell

Cell lengths 7.232, 7.024, 3.228 Å; angles 80.53, 73.34, 26.12 degrees
Fractional coordinates of all 3 atoms:
Sb 0.985 0.985 0.015
Y 0.674 0.674 0.326
W 0.340 0.340 0.660

Run R
Below is crystalline YSbW at its relaxed geometry, with properties calculated at the PBE level.

Symmetry = I4mm, No. 107
N(E_F) = 2.0 states/eV per cell

Cell lengths 5.852, 5.852, 5.852 Å; angles 144.55, 144.55, 51.00 degrees
Fractional coordinates of all 3 atoms:
Y 0.671 0.671 0.000
Sb 0.973 0.973 0.000
W 0.356 0.356 0.000

We find run R to be the most stable, with the next structure 0.160 eV/atom higher.

Run P
Below is crystalline Zn2Sb2W at its relaxed geometry, with properties calculated at the PBE level.

Symmetry = I4/mmm, No. 139
N(E_F) = 1.6 states/eV per cell

Cell lengths 4.011, 4.011, 7.329 Å; angles 74.12, 74.12, 90.00 degrees
Fractional coordinates of all 5 atoms:
W 0.000 0.000 0.000
Sb 0.750 0.250 0.500
Zn 0.584 0.584 0.831
Sb 0.250 0.750 0.500
Zn 0.416 0.416 0.169

Run Q
Below is crystalline Zn2Sb2W at its relaxed geometry, with properties calculated at the PBE level.

Symmetry = P4/mbm, No. 127
N(E_F) = 7.8 states/eV per cell

Cell lengths 7.139, 7.139, 3.750 Å; angles 90.00, 90.00, 90.00 degrees
Last column: magnetic moment on the atom in μB.
Fractional coordinates of all 10 atoms:
Sb 0.820 0.320 0.500  -0.01
Zn 0.627 0.127 0.000  0.01
W 0.500 0.500 0.000  0.52
Sb 0.680 0.820 0.500  -0.01
Zn 0.873 0.627 0.000  0.01
W 0.000 0.000 0.000  0.52
Sb 0.320 0.180 0.500  -0.01
Zn 0.127 0.373 0.000  0.01
Zn 0.373 0.873 0.000  0.01
Sb 0.180 0.680 0.500  -0.01

We find run Q to be the most stable, with the next structure 0.549 eV/atom higher.

Run P
Below is crystalline Zn2SbW2 at its relaxed geometry, with properties calculated at the PBE level.

Symmetry = P4/mbm, No. 127
N(E_F) = 6.8 states/eV per cell

Cell lengths 6.930, 6.930, 3.737 Å; angles 90.00, 90.00, 90.00 degrees
Fractional coordinates of all 10 atoms:
Zn 0.165 0.665 0.500
Zn 0.335 0.165 0.500
W 0.873 0.627 0.000
W 0.627 0.127 0.000
Zn 0.665 0.835 0.500
W 0.373 0.873 0.000
Sb 0.500 0.500 0.000
Zn 0.835 0.335 0.500
W 0.127 0.373 0.000
Sb 0.000 0.000 0.000

Run Q
Below is crystalline Zn2SbW2 at its relaxed geometry, with properties calculated at the PBE level.

Symmetry = I4/mmm, No. 139
N(E_F) = 4.3 states/eV per cell

Cell lengths 3.542, 3.542, 7.431 Å; angles 76.21, 76.21, 90.00 degrees
Fractional coordinates of all 5 atoms:
Sb 0.000 0.000 0.000
W 0.594 0.594 0.811
Zn 0.750 0.250 0.500
W 0.406 0.406 0.189
Zn 0.250 0.750 0.500

We find run P to be the most stable, with the next structure 0.130 eV/atom higher.